1.
CrNi after structural relaxation, computed with GGA-PBE.

Properties
Calculated total energy: -72.8 eV for the cell shown
Volume: 239 Å³ per cell

Cell: 6.207 6.207 6.207 Å, 90.00 90.00 90.00°
Fractional positions:
Cr (0.000, 0.250, 0.500)
Cr (0.000, 0.750, 0.500)
Cr (0.250, 0.500, 0.000)
Cr (0.500, 0.000, 0.250)
Cr (0.500, 0.000, 0.750)
Cr (0.750, 0.500, 0.000)
Ni (0.000, 0.500, 0.250)
Ni (0.000, 0.500, 0.750)
Ni (0.250, 0.000, 0.500)
Ni (0.500, 0.250, 0.000)
Ni (0.500, 0.750, 0.000)
Ni (0.750, 0.000, 0.500)

2.
Li2HoCdHg2 after structural relaxation, computed with GGA-PBE.

Properties
Calculated total energy: -12.1 eV for the cell shown
Volume: 126 Å³ per cell

Cell: 4.750 4.750 6.452 Å, 90.00 90.00 120.00°
Fractional positions:
Li (0.333, 0.667, 0.167)
Li (0.667, 0.333, 0.833)
Ho (0.000, 0.000, 0.500)
Cd (0.000, 0.000, 0.000)
Hg (0.333, 0.667, 0.726)
Hg (0.667, 0.333, 0.274)

> Which of these has the highest volume?

CrNi